(1)
First-principles (GGA-PBE) data for a relaxed DyThBi crystal, as listed in OQMD via LeMat-Bulk.

a b c (Å): 5.262 5.262 5.262
angles (deg): 60.00 60.00 60.00
Fractional coordinates of all 3 atoms:
Th 0.750 0.750 0.750
Dy 0.250 0.250 0.250
Bi 0.000 0.000 0.000


(2)
First-principles (GGA-PBE) data for a relaxed BaLiAsPt crystal, as listed in OQMD via LeMat-Bulk.

## Properties
ΔE to the lowest computed polymorph: 0.000 eV per atom

a b c (Å): 4.967 4.967 4.967
angles (deg): 60.00 60.00 60.00
Fractional coordinates of all 4 atoms:
As 0.250 0.250 0.250
Ba 0.000 0.000 0.000
Li 0.750 0.750 0.750
Pt 0.500 0.500 0.500


(3)
First-principles (GGA-PBE) data for a relaxed BaZn2GaSi crystal, as listed in OQMD via LeMat-Bulk.

a b c (Å): 6.255 6.255 6.255
angles (deg): 138.18 138.18 60.63
Fractional coordinates of all 5 atoms:
Zn 0.752 0.252 0.500
Ba 0.999 0.999 0.000
Si 0.378 0.378 0.000
Zn 0.252 0.752 0.500
Ga 0.619 0.619 0.000


(4)
First-principles (GGA-PBE) data for a relaxed FeSi25Ge6 crystal, as listed in OQMD via LeMat-Bulk.

a b c (Å): 6.728 6.728 15.551
angles (deg): 89.99 89.95 70.49
Fractional coordinates of all 32 atoms:
Si 0.500 0.000 0.126
Si 0.879 0.380 0.999
Si 0.003 0.996 0.250
Si 0.374 0.372 0.373
Si 0.500 0.500 0.750
Si 0.879 0.878 0.621
Si 0.001 0.501 0.873
Ge 0.873 0.375 0.249
Si 0.003 0.502 0.628
Si 0.375 0.874 0.749
Ge 0.888 0.357 0.502
Si 0.874 0.874 0.871
Si 0.500 0.000 0.873
Si 0.373 0.372 0.628
Si 0.492 0.002 0.376
Si 0.001 0.001 0.748
Ge 0.001 0.001 0.999
Fe 0.003 0.995 0.503
Ge 0.878 0.878 0.381
Si 0.494 0.501 0.250
Si 0.374 0.374 0.873
Si 0.002 0.502 0.123
Ge 0.493 0.503 0.501
Si 0.357 0.888 0.501
Ge 0.501 0.500 0.000
Si 0.380 0.879 0.000
Si 0.874 0.375 0.750
Si 0.374 0.374 0.126
Si 0.501 0.000 0.625
Si 0.874 0.874 0.126
Si 0.005 0.496 0.376
Si 0.375 0.874 0.250


(5)
First-principles (GGA-PBE) data for a relaxed LaZnB5O10 crystal, as listed in OQMD via LeMat-Bulk.

a b c (Å): 8.736 7.608 12.593
angles (deg): 90.00 131.01 90.00
Fractional coordinates of all 68 atoms:
La 0.055 0.184 0.735
O 0.436 0.348 0.432
O 0.564 0.652 0.568
O 0.226 0.522 0.143
B 0.731 0.534 0.948
O 0.213 0.720 0.740
B 0.354 0.583 0.767
O 0.441 0.346 0.128
O 0.913 0.608 0.086
B 0.093 0.673 0.110
B 0.512 0.815 0.584
La 0.055 0.316 0.235
Zn 0.486 0.913 0.877
B 0.845 0.094 0.995
O 0.027 0.780 0.990
La 0.945 0.816 0.265
B 0.269 0.466 0.052
O 0.675 0.581 0.187
O 0.787 0.280 0.260
O 0.675 0.919 0.687
O 0.680 0.036 0.863
Zn 0.514 0.087 0.123
O 0.564 0.848 0.068
O 0.913 0.892 0.586
O 0.320 0.964 0.137
B 0.731 0.966 0.448
B 0.155 0.594 0.505
O 0.973 0.220 0.010
O 0.318 0.873 0.510
B 0.269 0.034 0.552
O 0.441 0.154 0.628
B 0.488 0.185 0.416
O 0.325 0.419 0.813
O 0.226 0.978 0.643
O 0.682 0.127 0.490
O 0.325 0.081 0.313
O 0.682 0.373 0.990
B 0.646 0.417 0.233
La 0.945 0.684 0.765
O 0.087 0.392 0.914
O 0.436 0.152 0.932
B 0.354 0.917 0.267
O 0.559 0.846 0.372
B 0.646 0.083 0.733
B 0.155 0.906 0.005
B 0.907 0.327 0.890
O 0.213 0.780 0.240
O 0.118 0.540 0.389
Zn 0.514 0.413 0.623
O 0.087 0.108 0.414
B 0.845 0.406 0.495
O 0.318 0.627 0.010
O 0.973 0.280 0.510
O 0.320 0.536 0.637
O 0.774 0.022 0.357
O 0.882 0.040 0.111
B 0.093 0.827 0.610
O 0.787 0.220 0.760
O 0.774 0.478 0.857
B 0.907 0.173 0.390
O 0.118 0.960 0.889
O 0.027 0.720 0.490
O 0.882 0.460 0.611
O 0.559 0.654 0.872
B 0.512 0.685 0.084
Zn 0.486 0.587 0.377
B 0.488 0.315 0.916
O 0.680 0.464 0.363


(6)
First-principles (GGA-PBE) data for a relaxed TaMoS4 crystal, as listed in OQMD via LeMat-Bulk.

## Properties
ΔE to the lowest computed polymorph: 0.000 eV per atom

a b c (Å): 7.237 7.237 5.677
angles (deg): 90.00 90.00 153.84
Fractional coordinates of all 6 atoms:
S 0.391 0.609 0.160
Mo 0.000 0.000 0.997
Ta 0.500 0.500 0.500
S 0.609 0.391 0.160
S 0.889 0.111 0.668
S 0.111 0.889 0.668


| no. | raw total energy (eV for the cell shown) |
| --- | --- |
| 1 | -16.25 |
| 2 | -16.20 |
| 3 | -14.51 |
| 4 | -169.44 |
| 5 | -527.91 |
| 6 | -44.91 |